Below is a relaxed structure of TiInTc2, with properties calculated at the PBE level.

a = 9.763 Å, b = 9.763 Å, c = 9.763 Å
α = 156.36°, β = 156.36°, γ = 33.68°
Sites, in units of the cell vectors:
Ti1 0.000 0.000 0.000
Ti2 0.750 0.250 0.500
In1 0.250 0.750 0.500
In2 0.500 0.500 0.000
Tc1 0.047 0.625 0.922
Tc2 0.375 0.297 0.422
Tc3 0.703 0.125 0.078
Tc4 0.875 0.953 0.578

The calculated volume comes out at 149.5 Å³/cell. For the energy of formation, the calculation gives 0.50 eV per atom. Its crystal system is tetragonal. As for the symmetry: I-42d (122).

Below is a relaxed structure of Ti4InTc, with properties calculated at the PBE level.

a = 4.476 Å, b = 4.476 Å, c = 7.519 Å
α = 107.23°, β = 107.23°, γ = 59.62°
Sites, in units of the cell vectors:
Ti1 0.114 0.114 0.336
Ti2 0.365 0.365 0.095
Ti3 0.635 0.635 0.905
Ti4 0.886 0.886 0.664
In1 0.500 0.500 0.500
Tc1 0.000 0.000 0.000

The calculated volume comes out at 122.1 Å³/cell. For the energy of formation, the calculation gives 0.22 eV per atom. Its crystal system is monoclinic. As for the symmetry: C2/m (12).

Below is a relaxed structure of Ti2InTc, with properties calculated at the PBE level.

a = 4.451 Å, b = 4.451 Å, c = 3.390 Å
α = 90.00°, β = 90.00°, γ = 90.00°
Sites, in units of the cell vectors:
Ti1 0.000 0.500 0.000
Ti2 0.500 0.000 0.000
In1 0.000 0.000 0.500
Tc1 0.500 0.500 0.500

The calculated volume comes out at 67.2 Å³/cell. For the energy of formation, the calculation gives -0.25 eV per atom. Its crystal system is tetragonal. As for the symmetry: P4/mmm (123).

Below is a relaxed structure of TiInTc, with properties calculated at the PBE level.

a = 4.559 Å, b = 4.559 Å, c = 5.723 Å
α = 90.52°, β = 90.52°, γ = 60.56°
Sites, in units of the cell vectors:
Ti1 0.001 0.001 0.215
Ti2 0.999 0.999 0.785
In1 0.333 0.333 0.607
In2 0.667 0.667 0.393
Tc1 0.334 0.334 0.101
Tc2 0.666 0.666 0.899

The calculated volume comes out at 103.6 Å³/cell. For the energy of formation, the calculation gives 0.12 eV per atom. Its crystal system is monoclinic. The calculation puts the distance to the lowest polymorph of the same formula at 0.404 eV/atom. As for the symmetry: C2/m (12).

Below is a relaxed structure of Ti3InTc, with properties calculated at the PBE level.

a = 4.727 Å, b = 4.727 Å, c = 4.727 Å
α = 90.00°, β = 90.00°, γ = 90.00°
Sites, in units of the cell vectors:
Ti1 0.000 0.000 0.500
Ti2 0.000 0.500 0.000
Ti3 0.500 0.000 0.000
In1 0.500 0.500 0.500
Tc1 0.000 0.000 0.000

The calculated volume comes out at 105.6 Å³/cell. For the energy of formation, the calculation gives 0.38 eV per atom. Its crystal system is cubic. The calculation puts the distance to the lowest polymorph of the same formula at 0.000 eV/atom. As for the symmetry: Pm-3m (221).

Below is a relaxed structure of TiInTc4, with properties calculated at the PBE level.

a = 5.182 Å, b = 5.182 Å, c = 5.182 Å
α = 60.00°, β = 60.00°, γ = 60.00°
Sites, in units of the cell vectors:
Ti1 0.000 0.000 0.000
In1 0.250 0.250 0.250
Tc1 0.125 0.625 0.625
Tc2 0.625 0.125 0.625
Tc3 0.625 0.625 0.125
Tc4 0.625 0.625 0.625

The calculated volume comes out at 98.4 Å³/cell. For the energy of formation, the calculation gives 0.03 eV per atom. Its crystal system is cubic. As for the symmetry: F-43m (216).

Below is a relaxed structure of TiTl2InTc, with properties calculated at the PBE level.

a = 5.434 Å, b = 5.434 Å, c = 4.598 Å
α = 90.00°, β = 90.00°, γ = 90.00°
Sites, in units of the cell vectors:
Ti1 0.000 0.000 0.000
Tl1 0.000 0.500 0.500
Tl2 0.500 0.000 0.500
In1 0.500 0.500 0.000
Tc1 0.000 0.000 0.500

The calculated volume comes out at 135.8 Å³/cell. For the energy of formation, the calculation gives 0.48 eV per atom. Its crystal system is tetragonal. As for the symmetry: P4/mmm (123).

Below is a relaxed structure of ZrTiInTc, with properties calculated at the PBE level.

a = 4.714 Å, b = 4.714 Å, c = 4.714 Å
α = 60.00°, β = 60.00°, γ = 60.00°
Sites, in units of the cell vectors:
Zr1 0.000 0.000 0.000
Ti1 0.500 0.500 0.500
In1 0.750 0.750 0.750
Tc1 0.250 0.250 0.250

The calculated volume comes out at 74.1 Å³/cell. For the energy of formation, the calculation gives -0.18 eV per atom. Its crystal system is cubic. As for the symmetry: F-43m (216).

Below is a relaxed structure of TlInTc2, with properties calculated at the PBE level.

a = 4.684 Å, b = 4.684 Å, c = 4.684 Å
α = 60.00°, β = 60.00°, γ = 60.00°
Sites, in units of the cell vectors:
Tl1 0.000 0.000 0.000
In1 0.750 0.750 0.750
Tc1 0.250 0.250 0.250
Tc2 0.500 0.500 0.500

The calculated volume comes out at 72.7 Å³/cell. For the energy of formation, the calculation gives 0.77 eV per atom. Its crystal system is cubic. The calculation puts the distance to the lowest polymorph of the same formula at 0.576 eV/atom. As for the symmetry: F-43m (216).

Below is a relaxed structure of TlIn2Tc, with properties calculated at the PBE level.

a = 3.228 Å, b = 5.164 Å, c = 5.207 Å
α = 90.00°, β = 90.00°, γ = 90.00°
Sites, in units of the cell vectors:
Tl1 0.000 0.000 0.000
In1 0.000 0.500 0.500
In2 0.500 0.000 0.500
Tc1 0.500 0.500 0.000

The calculated volume comes out at 86.8 Å³/cell. For the energy of formation, the calculation gives 0.59 eV per atom. Its crystal system is orthorhombic. As for the symmetry: Pmmm (47).

Below is a relaxed structure of TlInTc2, with properties calculated at the PBE level.

a = 2.987 Å, b = 2.987 Å, c = 9.253 Å
α = 90.00°, β = 90.00°, γ = 116.08°
Sites, in units of the cell vectors:
Tl1 0.000 0.000 0.000
In1 0.000 0.000 0.500
Tc1 0.500 0.500 0.254
Tc2 0.500 0.500 0.746

The calculated volume comes out at 74.2 Å³/cell. For the energy of formation, the calculation gives 0.71 eV per atom. Its crystal system is orthorhombic. The calculation puts the distance to the lowest polymorph of the same formula at 0.511 eV/atom. As for the symmetry: Cmmm (65).

Below is a relaxed structure of Tl2InTc, with properties calculated at the PBE level.

a = 3.170 Å, b = 3.170 Å, c = 9.398 Å
α = 90.00°, β = 90.00°, γ = 90.00°
Sites, in units of the cell vectors:
Tl1 0.000 0.000 0.209
Tl2 0.000 0.000 0.791
In1 0.500 0.500 0.500
Tc1 0.500 0.500 0.000

The calculated volume comes out at 94.5 Å³/cell. For the energy of formation, the calculation gives 0.55 eV per atom. Its crystal system is tetragonal. The calculation puts the distance to the lowest polymorph of the same formula at 0.184 eV/atom. As for the symmetry: P4/mmm (123).

Below is a relaxed structure of Tl2InTc, with properties calculated at the PBE level.

a = 10.373 Å, b = 10.373 Å, c = 10.373 Å
α = 18.04°, β = 18.04°, γ = 18.04°
Sites, in units of the cell vectors:
Tl1 0.000 0.000 0.000
Tl2 0.234 0.234 0.234
In1 0.761 0.761 0.761
Tc1 0.495 0.495 0.495

The calculated volume comes out at 93.4 Å³/cell. For the energy of formation, the calculation gives 0.45 eV per atom. Its crystal system is trigonal. The calculation puts the distance to the lowest polymorph of the same formula at 0.091 eV/atom. As for the symmetry: R3m (160).

Below is a relaxed structure of TlIn2Tc, with properties calculated at the PBE level.

a = 3.179 Å, b = 5.080 Å, c = 5.279 Å
α = 90.00°, β = 90.93°, γ = 90.00°
Sites, in units of the cell vectors:
Tl1 0.000 0.000 0.000
In1 0.488 0.000 0.521
In2 0.499 0.500 0.178
Tc1 0.979 0.500 0.674

The calculated volume comes out at 85.2 Å³/cell. For the energy of formation, the calculation gives 0.48 eV per atom. Its crystal system is monoclinic. As for the symmetry: Pm (6).

Below is a relaxed structure of Tl2InTc, with properties calculated at the PBE level.

a = 5.443 Å, b = 5.443 Å, c = 3.274 Å
α = 90.00°, β = 90.00°, γ = 111.19°
Sites, in units of the cell vectors:
Tl1 0.000 0.500 0.000
Tl2 0.500 0.000 0.000
In1 0.000 0.000 0.500
Tc1 0.500 0.500 0.500

The calculated volume comes out at 90.4 Å³/cell. For the energy of formation, the calculation gives 0.68 eV per atom. Its crystal system is orthorhombic. The calculation puts the distance to the lowest polymorph of the same formula at 0.314 eV/atom. As for the symmetry: Cmmm (65).